No. 1
A crystal of CaMgSiNi2 relaxed with PBEsol. Source: Alexandria, functional SCAN.

Summary:
- ΔE_f (raw) (eV/atom) = 0.361
- spin magnetization (μB/f.u.) = 0.0
- Fermi-level density of states (states/eV/cell) = 5.4

Cell: 4.358 4.358 5.122 Å, 90.00 90.00 90.00°
Sites, in units of the cell vectors:
Ca (0.000, 0.000, 0.000)
Mg (0.500, 0.500, 0.000)
Si (0.000, 0.000, 0.500)
Ni (0.000, 0.500, 0.500)
Ni (0.500, 0.000, 0.500)



No. 2
A crystal of CaMgSiO4 relaxed with PBEsol. Source: Alexandria, functional SCAN.

Summary:
- ΔE_f (raw) (eV/atom) = -3.244
- spin magnetization (μB/f.u.) = 0.0
- distance to the lowest polymorph of the same formula (meV/atom) = 0.0
- Fermi-level density of states (states/eV/cell) = 0.0

Cell: 11.086 6.361 4.825 Å, 90.00 90.00 90.00°
Sites, in units of the cell vectors:
Ca (0.224, 0.250, 0.021)
Ca (0.276, 0.750, 0.521)
Ca (0.724, 0.250, 0.479)
Ca (0.776, 0.750, 0.979)
Mg (0.000, 0.000, 0.500)
Mg (0.000, 0.500, 0.500)
Mg (0.500, 0.000, 0.000)
Mg (0.500, 0.500, 0.000)
Si (0.081, 0.750, 0.087)
Si (0.419, 0.250, 0.587)
Si (0.581, 0.750, 0.413)
Si (0.919, 0.250, 0.913)
O (0.053, 0.250, 0.754)
O (0.077, 0.750, 0.749)
O (0.148, 0.544, 0.227)
O (0.148, 0.956, 0.227)
O (0.352, 0.044, 0.727)
O (0.352, 0.456, 0.727)
O (0.423, 0.250, 0.249)
O (0.447, 0.750, 0.254)
O (0.553, 0.250, 0.746)
O (0.577, 0.750, 0.751)
O (0.648, 0.544, 0.273)
O (0.648, 0.956, 0.273)
O (0.852, 0.044, 0.773)
O (0.852, 0.456, 0.773)
O (0.923, 0.250, 0.251)
O (0.947, 0.750, 0.246)



No. 3
A crystal of CaMgSiO4 relaxed with PBEsol. Source: Alexandria, functional SCAN.

Summary:
- ΔE_f (raw) (eV/atom) = -3.203
- spin magnetization (μB/f.u.) = 0.0
- distance to the lowest polymorph of the same formula (meV/atom) = 41.7
- Fermi-level density of states (states/eV/cell) = 0.0

Cell: 9.067 6.762 5.171 Å, 90.00 90.00 90.00°
Sites, in units of the cell vectors:
Ca (0.145, 0.250, 0.022)
Ca (0.355, 0.750, 0.522)
Ca (0.645, 0.250, 0.478)
Ca (0.855, 0.750, 0.978)
Mg (0.000, 0.000, 0.500)
Mg (0.000, 0.500, 0.500)
Mg (0.500, 0.000, 0.000)
Mg (0.500, 0.500, 0.000)
Si (0.180, 0.750, 0.029)
Si (0.320, 0.250, 0.529)
Si (0.680, 0.750, 0.471)
Si (0.820, 0.250, 0.971)
O (0.118, 0.558, 0.184)
O (0.118, 0.942, 0.184)
O (0.120, 0.750, 0.728)
O (0.138, 0.250, 0.557)
O (0.362, 0.750, 0.057)
O (0.380, 0.250, 0.228)
O (0.382, 0.058, 0.684)
O (0.382, 0.442, 0.684)
O (0.618, 0.558, 0.316)
O (0.618, 0.942, 0.316)
O (0.620, 0.750, 0.772)
O (0.638, 0.250, 0.943)
O (0.862, 0.750, 0.443)
O (0.880, 0.250, 0.272)
O (0.882, 0.058, 0.816)
O (0.882, 0.442, 0.816)



No. 4
A crystal of Ca3MgSi2O8 relaxed with PBEsol. Source: Alexandria, functional SCAN.

Summary:
- ΔE_f (raw) (eV/atom) = -3.283
- spin magnetization (μB/f.u.) = 0.0
- Fermi-level density of states (states/eV/cell) = 0.0

Cell: 9.354 5.290 13.247 Å, 90.00 92.33 90.00°
Sites, in units of the cell vectors:
Ca (0.072, 0.230, 0.421)
Ca (0.072, 0.270, 0.921)
Ca (0.218, 0.676, 0.258)
Ca (0.218, 0.824, 0.758)
Ca (0.423, 0.241, 0.098)
Ca (0.423, 0.259, 0.598)
Ca (0.577, 0.741, 0.402)
Ca (0.577, 0.759, 0.902)
Ca (0.782, 0.176, 0.242)
Ca (0.782, 0.324, 0.742)
Ca (0.928, 0.730, 0.079)
Ca (0.928, 0.770, 0.579)
Mg (0.254, 0.741, 0.504)
Mg (0.254, 0.759, 0.004)
Mg (0.746, 0.241, 0.996)
Mg (0.746, 0.259, 0.496)
Si (0.094, 0.226, 0.143)
Si (0.094, 0.274, 0.643)
Si (0.396, 0.226, 0.368)
Si (0.396, 0.274, 0.868)
Si (0.604, 0.726, 0.132)
Si (0.604, 0.774, 0.632)
Si (0.906, 0.726, 0.357)
Si (0.906, 0.774, 0.857)
O (0.059, 0.701, 0.423)
O (0.059, 0.799, 0.923)
O (0.066, 0.189, 0.757)
O (0.066, 0.311, 0.257)
O (0.175, 0.040, 0.584)
O (0.175, 0.460, 0.084)
O (0.188, 0.530, 0.628)
O (0.188, 0.970, 0.128)
O (0.300, 0.091, 0.939)
O (0.300, 0.409, 0.439)
O (0.325, 0.559, 0.874)
O (0.325, 0.941, 0.374)
O (0.400, 0.136, 0.758)
O (0.400, 0.364, 0.258)
O (0.447, 0.713, 0.072)
O (0.447, 0.787, 0.572)
O (0.553, 0.213, 0.428)
O (0.553, 0.287, 0.928)
O (0.600, 0.636, 0.742)
O (0.600, 0.864, 0.242)
O (0.675, 0.059, 0.626)
O (0.675, 0.441, 0.126)
O (0.700, 0.591, 0.561)
O (0.700, 0.909, 0.061)
O (0.812, 0.030, 0.872)
O (0.812, 0.470, 0.372)
O (0.825, 0.540, 0.916)
O (0.825, 0.960, 0.416)
O (0.934, 0.689, 0.743)
O (0.934, 0.811, 0.243)
O (0.941, 0.201, 0.077)
O (0.941, 0.299, 0.577)